DFT (GGA-PBE) results for a relaxed HfMn3Sb crystal.

Properties
- Spin magnetization: 8.4 μB/f.u.
- Crystal system: cubic
- DFT total energy: -36.50 eV/cell

```
data_HfMn3Sb
_chemical_formula_sum 'Hf1 Mn3 Sb1'
_space_group_name_H-M_alt 'P m -3 m'
_space_group_IT_number 221
_space_group_name_Hall '-P 4 2 3'
_cell_length_a 4.776
_cell_length_b 4.776
_cell_length_c 4.776
_cell_angle_alpha 90.00
_cell_angle_beta 90.00
_cell_angle_gamma 90.00
loop_
_atom_site_label
_atom_site_type_symbol
_atom_site_fract_x
_atom_site_fract_y
_atom_site_fract_z
_atom_site_occupancy
Hf1 Hf 0.000 0.000 0.000 1
Mn1 Mn 0.000 0.500 0.500 1
Sb1 Sb 0.500 0.500 0.500 1
```